This record from Alexandria via LeMat-Bulk describes a geometry-optimized CaGa2PdAu4 structure. The functional is GGA-PBE.

The structure in extended XYZ format:
```
8
Lattice="2.348 1.356 7.772 -2.348 1.356 7.772 0.000 -2.712 7.772" Properties=species:S:1:pos:R:3 pbc="T T T"
Ca 0.000 0.000 0.000
Ga 0.000 0.000 5.821
Ga 0.000 0.000 17.497
Pd 0.000 0.000 11.659
Au 0.000 0.000 3.042
Au 0.000 0.000 8.953
Au 0.000 0.000 14.364
Au 0.000 0.000 20.276
```

Energy relative to the elements in kcal/mol of atoms: -7.6